Entry from the Alexandria database: a relaxed structure of SrCrRh2 (PBEsol).

Cell lengths 2.948, 4.741, 9.999 Å; angles 90.00, 90.00, 90.00 degrees
Space group Imm2 (No. 44)
Asymmetric unit:
Sr  0.000  0.000  0.000 x2
Cr  0.000  0.500  0.784 x2
Rh  0.000  0.000  0.497 x2
Rh  0.000  0.500  0.227 x2

## Properties
Calculated formation energy   0.43 eV/atom
Distance to the lowest polymorph of the same formula   0.82 eV/f.u.
E_tot   -6.66 eV/atom

=====

Entry from the Alexandria database: a relaxed structure of SrCr3Rh (PBEsol).

Cell lengths 4.795, 4.795, 4.795 Å; angles 90.00, 90.00, 90.00 degrees
Space group Pm-3m (No. 221)
Asymmetric unit:
Sr  0.000  0.000  0.000 x1
Cr  0.000  0.500  0.500 x3
Rh  0.500  0.500  0.500 x1

## Properties
Calculated formation energy   1.07 eV/atom
E_tot   -7.07 eV/atom

=====

Entry from the Alexandria database: a relaxed structure of SrCrRh2 (PBEsol).

Cell lengths 4.0749, 4.0749, 17.0200 Å; angles 90.00, 90.00, 120.00 degrees
Space group R3m (No. 160, hexagonal axes)
Asymmetric unit:
Sr  0.0000  0.0000  0.0000 x3
Cr  0.0000  0.0000  0.8129 x3
Rh  0.0000  0.0000  0.2050 x3
Rh  0.0000  0.0000  0.4676 x3

## Properties
Calculated formation energy   0.23 eV/atom
Distance to the lowest polymorph of the same formula   0.00 eV/f.u.
E_tot   -6.86 eV/atom

=====

Entry from the Alexandria database: a relaxed structure of TaCr2Rh (PBEsol).

Cell lengths 2.7872, 2.7872, 24.5246 Å; angles 90.00, 90.00, 120.00 degrees
Space group R3m (No. 160, hexagonal axes)
Asymmetric unit:
Ta  0.0000  0.0000  0.0000 x3
Cr  0.0000  0.0000  0.4914 x3
Cr  0.0000  0.0000  0.7597 x3
Rh  0.0000  0.0000  0.2423 x3

## Properties
Calculated formation energy   0.20 eV/atom
Distance to the lowest polymorph of the same formula   0.75 eV/f.u.
E_tot   -10.09 eV/atom